P.
# Ca2Ac3 PBE optimized geometry
# Theoretical density   5.08 Mg/m³
# Magnetization   0.000 μB per atom
# DOS(E_F)   1.36 states/eV/atom
data_Ca2Ac3
_cell_length_a 6.7136
_cell_length_b 6.7136
_cell_length_c 38.2586
_cell_angle_alpha 90.00
_cell_angle_beta 90.00
_cell_angle_gamma 120.00
_symmetry_space_group_name_H-M 'R -3 c'
_symmetry_Int_Tables_number 167
_symmetry_space_group_name_Hall '-R 3 2"c'
loop_
_atom_site_label
_atom_site_type_symbol
_atom_site_fract_x
_atom_site_fract_y
_atom_site_fract_z
Ca1 Ca 0.0000 0.0000 0.1671
Ac1 Ac 0.0000 0.3401 0.2500

---

Q.
# Ca2Ac3 PBE optimized geometry
# Theoretical density   5.74 Mg/m³
# Magnetization   0.000 μB per atom
# DOS(E_F)   1.57 states/eV/atom
data_Ca2Ac3
_cell_length_a 3.9605
_cell_length_b 3.9605
_cell_length_c 48.6290
_cell_angle_alpha 90.00
_cell_angle_beta 90.00
_cell_angle_gamma 120.00
_symmetry_space_group_name_H-M 'R -3 m'
_symmetry_Int_Tables_number 166
_symmetry_space_group_name_Hall '-R 3 2"'
loop_
_atom_site_label
_atom_site_type_symbol
_atom_site_fract_x
_atom_site_fract_y
_atom_site_fract_z
Ca1 Ca 0.0000 0.0000 0.1993
Ac1 Ac 0.0000 0.0000 0.0000
Ac2 Ac 0.0000 0.0000 0.3998

---

Stability check: which of them is most stable? Q.

---

P.
# Ca4Ac PBE optimized geometry
# Theoretical density   3.03 Mg/m³
# Magnetization   0.000 μB per atom
# DOS(E_F)   1.46 states/eV/atom
data_Ca4Ac
_cell_length_a 3.9044
_cell_length_b 3.9044
_cell_length_c 48.2153
_cell_angle_alpha 90.00
_cell_angle_beta 90.00
_cell_angle_gamma 120.00
_symmetry_space_group_name_H-M 'R -3 m'
_symmetry_Int_Tables_number 166
_symmetry_space_group_name_Hall '-R 3 2"'
loop_
_atom_site_label
_atom_site_type_symbol
_atom_site_fract_x
_atom_site_fract_y
_atom_site_fract_z
Ca1 Ca 0.0000 0.0000 0.0992
Ca2 Ca 0.0000 0.0000 0.3003
Ac1 Ac 0.0000 0.0000 0.5000

---

Q.
# Ca4Ac PBE optimized geometry
# Theoretical density   2.50 Mg/m³
# Magnetization   0.257 μB per atom
# DOS(E_F)   2.12 states/eV/atom
data_Ca4Ac
_cell_length_a 6.3587
_cell_length_b 6.3587
_cell_length_c 6.3587
_cell_angle_alpha 90.00
_cell_angle_beta 90.00
_cell_angle_gamma 90.00
_symmetry_space_group_name_H-M 'P m -3 m'
_symmetry_Int_Tables_number 221
_symmetry_space_group_name_Hall '-P 4 2 3'
loop_
_atom_site_label
_atom_site_type_symbol
_atom_site_fract_x
_atom_site_fract_y
_atom_site_fract_z
Ca1 Ca 0.0000 0.0000 0.0000
Ca2 Ca 0.0000 0.5000 0.5000
Ac1 Ac 0.5000 0.5000 0.5000

---

R.
# Ca4Ac PBE optimized geometry
# Theoretical density   3.01 Mg/m³
# Magnetization   0.000 μB per atom
# DOS(E_F)   1.47 states/eV/atom
data_Ca4Ac
_cell_length_a 3.8967
_cell_length_b 5.5592
_cell_length_c 19.7372
_cell_angle_alpha 90.00
_cell_angle_beta 90.00
_cell_angle_gamma 90.00
_symmetry_space_group_name_H-M 'I m m m'
_symmetry_Int_Tables_number 71
_symmetry_space_group_name_Hall '-I 2 2'
loop_
_atom_site_label
_atom_site_type_symbol
_atom_site_fract_x
_atom_site_fract_y
_atom_site_fract_z
Ca1 Ca 0.0000 0.0000 0.1010
Ca2 Ca 0.0000 0.0000 0.2995
Ac1 Ac 0.0000 0.0000 0.5000

---

Stability check: which of them is most stable? P.

---

P.
# Ca5Ac PBE optimized geometry
# Theoretical density   2.82 Mg/m³
# Magnetization   0.000 μB per atom
# DOS(E_F)   1.42 states/eV/atom
data_Ca5Ac
_cell_length_a 6.2459
_cell_length_b 18.6700
_cell_length_c 4.3232
_cell_angle_alpha 90.00
_cell_angle_beta 90.00
_cell_angle_gamma 90.00
_symmetry_space_group_name_H-M 'C m m m'
_symmetry_Int_Tables_number 65
_symmetry_space_group_name_Hall '-C 2 2'
loop_
_atom_site_label
_atom_site_type_symbol
_atom_site_fract_x
_atom_site_fract_y
_atom_site_fract_z
Ca1 Ca 0.0000 0.0000 0.0000
Ca2 Ca 0.0000 0.1615 0.5000
Ca3 Ca 0.0000 0.3293 0.0000
Ac1 Ac 0.0000 0.5000 0.5000

---

Q.
# Ca5Ac PBE optimized geometry
# Theoretical density   2.79 Mg/m³
# Magnetization   0.000 μB per atom
# DOS(E_F)   1.53 states/eV/atom
data_Ca5Ac
_cell_length_a 3.8920
_cell_length_b 3.8920
_cell_length_c 16.8171
_cell_angle_alpha 90.00
_cell_angle_beta 90.00
_cell_angle_gamma 90.00
_symmetry_space_group_name_H-M 'P 4/m m m'
_symmetry_Int_Tables_number 123
_symmetry_space_group_name_Hall '-P 4 2'
loop_
_atom_site_label
_atom_site_type_symbol
_atom_site_fract_x
_atom_site_fract_y
_atom_site_fract_z
Ca1 Ca 0.0000 0.0000 0.0000
Ca2 Ca 0.0000 0.0000 0.3310
Ca3 Ca 0.5000 0.5000 0.1640
Ac1 Ac 0.5000 0.5000 0.5000

---

Stability check: which of them is most stable? Q.

---

P.
# CaAc2Cd3 PBE optimized geometry
# Theoretical density   7.13 Mg/m³
# Magnetization   0.000 μB per atom
# DOS(E_F)   0.79 states/eV/atom
data_CaAc2Cd3
_cell_length_a 5.6697
_cell_length_b 5.6697
_cell_length_c 13.9178
_cell_angle_alpha 90.00
_cell_angle_beta 90.00
_cell_angle_gamma 120.00
_symmetry_space_group_name_H-M 'P -3 m 1'
_symmetry_Int_Tables_number 164
_symmetry_space_group_name_Hall '-P 3 2"'
loop_
_atom_site_label
_atom_site_type_symbol
_atom_site_fract_x
_atom_site_fract_y
_atom_site_fract_z
Ca1 Ca 0.3333 0.6667 0.1654
Ac1 Ac 0.0000 0.0000 0.0000
Ac2 Ac 0.0000 0.0000 0.5000
Ac3 Ac 0.3333 0.6667 0.6723
Cd1 Cd 0.0000 0.0000 0.2447
Cd2 Cd 0.3333 0.6667 0.4119
Cd3 Cd 0.3333 0.6667 0.9172

---

Q.
# CaAc2Cd3 PBE optimized geometry
# Theoretical density   7.15 Mg/m³
# Magnetization   0.000 μB per atom
# DOS(E_F)   0.90 states/eV/atom
data_CaAc2Cd3
_cell_length_a 4.0088
_cell_length_b 4.0088
_cell_length_c 12.0137
_cell_angle_alpha 90.00
_cell_angle_beta 90.00
_cell_angle_gamma 90.00
_symmetry_space_group_name_H-M 'P 4/m m m'
_symmetry_Int_Tables_number 123
_symmetry_space_group_name_Hall '-P 4 2'
loop_
_atom_site_label
_atom_site_type_symbol
_atom_site_fract_x
_atom_site_fract_y
_atom_site_fract_z
Ca1 Ca 0.0000 0.0000 0.0000
Ac1 Ac 0.0000 0.0000 0.3283
Cd1 Cd 0.5000 0.5000 0.1515
Cd2 Cd 0.5000 0.5000 0.5000

---

Stability check: which of them is most stable? P.

---

P.
# CaAcCd PBE optimized geometry
# Theoretical density   5.92 Mg/m³
# Magnetization   0.000 μB per atom
# DOS(E_F)   0.95 states/eV/atom
data_CaAcCd
_cell_length_a 3.8751
_cell_length_b 3.8751
_cell_length_c 14.1675
_cell_angle_alpha 90.00
_cell_angle_beta 90.00
_cell_angle_gamma 90.00
_symmetry_space_group_name_H-M 'I 4 m m'
_symmetry_Int_Tables_number 107
_symmetry_space_group_name_Hall 'I 4 -2'
loop_
_atom_site_label
_atom_site_type_symbol
_atom_site_fract_x
_atom_site_fract_y
_atom_site_fract_z
Ca1 Ca 0.0000 0.0000 0.0000
Ac1 Ac 0.0000 0.0000 0.2863
Cd1 Cd 0.0000 0.0000 0.6313

---

Q.
# CaAcCd PBE optimized geometry
# Theoretical density   5.33 Mg/m³
# Magnetization   0.001 μB per atom
# DOS(E_F)   1.35 states/eV/atom
data_CaAcCd
_cell_length_a 7.7924
_cell_length_b 7.7924
_cell_length_c 7.7924
_cell_angle_alpha 90.00
_cell_angle_beta 90.00
_cell_angle_gamma 90.00
_symmetry_space_group_name_H-M 'F -4 3 m'
_symmetry_Int_Tables_number 216
_symmetry_space_group_name_Hall 'F -4 2 3'
loop_
_atom_site_label
_atom_site_type_symbol
_atom_site_fract_x
_atom_site_fract_y
_atom_site_fract_z
Ca1 Ca 0.0000 0.0000 0.0000
Ac1 Ac 0.0000 0.0000 0.5000
Cd1 Cd 0.2500 0.2500 0.7500

---

Stability check: which of them is most stable? P.

---

P.
# CaAcCd PBE optimized geometry
# Theoretical density   5.96 Mg/m³
# Magnetization   0.000 μB per atom
# DOS(E_F)   1.26 states/eV/atom
data_CaAcCd
_cell_length_a 7.1998
_cell_length_b 5.6880
_cell_length_c 10.3328
_cell_angle_alpha 90.00
_cell_angle_beta 90.00
_cell_angle_gamma 90.00
_symmetry_space_group_name_H-M 'P n m a'
_symmetry_Int_Tables_number 62
loop_
_symmetry_equiv_pos_as_xyz
'x,y,z'
'-x,-y,-z'
'-x+1/2,-y,z+1/2'
'x+1/2,y,-z+1/2'
'x+1/2,-y+1/2,-z+1/2'
'-x+1/2,y+1/2,z+1/2'
'-x,y+1/2,-z'
'x,-y+1/2,z'
loop_
_atom_site_label
_atom_site_type_symbol
_atom_site_fract_x
_atom_site_fract_y
_atom_site_fract_z
Ca1 Ca 0.0217 0.2500 0.2077
Ac1 Ac 0.1775 0.2500 0.5765
Cd1 Cd 0.2006 0.2500 0.9039

---

Q.
# CaAcCd PBE optimized geometry
# Theoretical density   5.76 Mg/m³
# Magnetization   0.000 μB per atom
# DOS(E_F)   1.19 states/eV/atom
data_CaAcCd
_cell_length_a 9.8944
_cell_length_b 5.6903
_cell_length_c 8.4402
_cell_angle_alpha 90.00
_cell_angle_beta 113.00
_cell_angle_gamma 90.00
_symmetry_space_group_name_H-M 'C 1 m 1'
_symmetry_Int_Tables_number 8
loop_
_symmetry_equiv_pos_as_xyz
'x,y,z'
'x,-y,z'
'x+1/2,y+1/2,z'
'x+1/2,-y+1/2,z'
loop_
_atom_site_label
_atom_site_type_symbol
_atom_site_fract_x
_atom_site_fract_y
_atom_site_fract_z
Ca1 Ca 0.0000 0.0000 0.0000
Ca2 Ca 0.1684 0.0000 0.5031
Ac1 Ac 0.0813 0.5000 0.7442
Ac2 Ac 0.2526 0.5000 0.2541
Cd1 Cd 0.3105 0.0000 0.9318
Cd2 Cd 0.4415 0.0000 0.3188

---

Stability check: which of them is most stable? P.